Ba3Fe3Se7 PBE relaxed; energy relative to the elements, uncorrected = -1.0631 eV/atom; DOS at the Fermi energy = 7.19 states/eV per cell; VASP energy = -5.3360 eV/atom; space-group type = P6_3mc
1.0
3.403 10.538 -1.578
-8.566 -4.059 -5.938
-4.543 2.221 5.036
Ba Se Fe
6 14 6
Direct
0.632 0.816 0.009 Ba
0.368 0.184 0.509 Ba
0.184 0.816 0.009 Ba
0.816 0.632 0.509 Ba
0.816 0.184 0.509 Ba
0.184 0.368 0.009 Ba
0.277 0.139 0.063 Se
0.723 0.861 0.563 Se
0.454 0.546 0.315 Se
0.546 0.454 0.815 Se
0.667 0.333 0.260 Se
0.139 0.861 0.563 Se
0.139 0.277 0.563 Se
0.093 0.546 0.315 Se
0.546 0.093 0.815 Se
0.861 0.723 0.063 Se
0.454 0.907 0.315 Se
0.907 0.454 0.815 Se
0.861 0.139 0.063 Se
0.333 0.667 0.760 Se
0.256 0.744 0.491 Fe
0.744 0.487 0.991 Fe
0.256 0.513 0.491 Fe
0.513 0.256 0.991 Fe
0.744 0.256 0.991 Fe
0.487 0.744 0.491 Fe